Compound: Gd2SnAu
Source: OQMD
Functional: GGA-PBE
Structure: optimized geometry

Summary:
Total magnetization in μB per atom: 0.000
E in eV for the cell shown: -39.456

```
data_Gd2SnAu
_chemical_formula_sum 'Gd4 Sn2 Au2'
_symmetry_space_group_name_H-M 'A m m 2'
_symmetry_Int_Tables_number 38
_cell_length_a 4.4424
_cell_length_b 4.2316
_cell_length_c 11.4090
_cell_angle_alpha 90.00
_cell_angle_beta 90.00
_cell_angle_gamma 90.00
loop_
_symmetry_equiv_pos_as_xyz
'x,y,z'
'-x,-y,z'
'-x,y,z'
'x,-y,z'
'x,y+1/2,z+1/2'
'-x,-y+1/2,z+1/2'
'-x,y+1/2,z+1/2'
'x,-y+1/2,z+1/2'
loop_
_atom_site_label
_atom_site_type_symbol
_atom_site_fract_x
_atom_site_fract_y
_atom_site_fract_z
_atom_site_occupancy
Gd1 Gd 0.0000 0.0000 0.0000 1
Gd2 Gd 0.5000 0.0000 0.2827 1
Sn1 Sn 0.5000 0.0000 0.5624 1
Au1 Au 0.0000 0.0000 0.7351 1
```